A relaxed HfCdO2F crystal. Source: Alexandria, functional PBE. Values from VASP.

Structure (Quantum ESPRESSO input):
```
&SYSTEM
  ibrav = 0, nat = 5, ntyp = 4
/
ATOMIC_SPECIES
Hf 178.49 Hf.upf
Cd 112.41 Cd.upf
O 16.00 O.upf
F 19.00 F.upf
ATOMIC_POSITIONS crystal
Hf 0.000 0.000 0.000
Cd 0.500 0.500 0.500
O 0.000 0.500 0.000
O 0.500 0.000 0.000
F 0.000 0.000 0.500
CELL_PARAMETERS angstrom
4.127 0.000 0.000
0.000 4.127 0.000
0.000 0.000 4.234
```

- DFT total energy (eV per atom) = -6.956
- total magnetic moment (μB/f.u.) = 0.00

=====

A relaxed HfCdO2F crystal. Source: Alexandria, functional PBE. Values from VASP.

Structure (Quantum ESPRESSO input):
```
&SYSTEM
  ibrav = 0, nat = 5, ntyp = 4
/
ATOMIC_SPECIES
Hf 178.49 Hf.upf
Cd 112.41 Cd.upf
O 16.00 O.upf
F 19.00 F.upf
ATOMIC_POSITIONS crystal
Hf 0.000 0.000 0.000
Cd 0.500 0.500 0.500
O 0.000 0.500 0.500
O 0.500 0.000 0.500
F 0.500 0.500 0.000
CELL_PARAMETERS angstrom
4.257 0.000 0.000
0.000 4.257 0.000
0.000 0.000 4.120
```

- DFT total energy (eV per atom) = -5.225
- total magnetic moment (μB/f.u.) = 0.79

=====

A relaxed HfCdOF2 crystal. Source: Alexandria, functional PBE. Values from VASP.

Structure (Quantum ESPRESSO input):
```
&SYSTEM
  ibrav = 0, nat = 5, ntyp = 4
/
ATOMIC_SPECIES
Hf 178.49 Hf.upf
Cd 112.41 Cd.upf
O 16.00 O.upf
F 19.00 F.upf
ATOMIC_POSITIONS crystal
Hf 0.000 0.000 0.000
Cd 0.500 0.500 0.500
O 0.500 0.500 0.000
F 0.000 0.500 0.500
F 0.500 0.000 0.500
CELL_PARAMETERS angstrom
4.247 0.000 0.000
0.000 4.247 0.000
0.000 0.000 4.460
```

- DFT total energy (eV per atom) = -4.811
- relative energy among the computed polymorphs (meV per atom) = 1568
- total magnetic moment (μB/f.u.) = 1.68

=====

Q: Look up the DFT total energy of the first one.
A: -6.956 eV per atom

=====

What did the third record say?
A relaxed HfCdOF2 crystal. Source: Alexandria, functional PBE. Values from VASP.

Structure (Quantum ESPRESSO input):
```
&SYSTEM
  ibrav = 0, nat = 5, ntyp = 4
/
ATOMIC_SPECIES
Hf 178.49 Hf.upf
Cd 112.41 Cd.upf
O 16.00 O.upf
F 19.00 F.upf
ATOMIC_POSITIONS crystal
Hf 0.000 0.000 0.000
Cd 0.500 0.500 0.500
O 0.500 0.500 0.000
F 0.000 0.500 0.500
F 0.500 0.000 0.500
CELL_PARAMETERS angstrom
4.247 0.000 0.000
0.000 4.247 0.000
0.000 0.000 4.460
```

- DFT total energy (eV per atom) = -4.811
- relative energy among the computed polymorphs (meV per atom) = 1568
- total magnetic moment (μB/f.u.) = 1.68